Material: Sn2PbSeS2
Method: DFT, PBE
State: relaxed

The structure in POSCAR format:
```
Sn2PbSeS2
1.0
6.082 0.000 0.000
0.000 6.129 0.000
0.000 -3.064 8.968
Sn S Se Pb
4 4 2 2
Direct
0.771 0.558 0.663 Sn
0.271 0.105 0.663 Sn
0.771 0.895 0.337 Sn
0.271 0.442 0.337 Sn
0.218 0.539 0.664 S
0.718 0.124 0.664 S
0.218 0.876 0.336 S
0.718 0.461 0.336 S
0.744 0.751 0.000 Se
0.244 0.249 0.000 Se
0.250 0.750 0.000 Pb
0.750 0.250 0.000 Pb
```

energy	-52.33	eV/cell
space-group type	Cmc2_1, No. 36